A plane-wave DFT calculation with PBE-GGA was carried out for an optimized crystal structure of TlIr3Br.

Summary:
E above lowest polymorph   0 meV/atom
Total magnetization   0.000 Bohr magnetons per cell
Calculated volume   20.78 Å³/atom
ΔE_f (raw)   1.76 eV per atom

abc: 4.702 4.702 4.702
angles: 90.00 90.00 90.00
Space group Pm-3m (No. 221)
Unique sites:
Tl (0.000, 0.000, 0.000) x1
Ir (0.000, 0.500, 0.500) x3
Br (0.500, 0.500, 0.500) x1

---

A plane-wave DFT calculation with PBE-GGA was carried out for an optimized crystal structure of TlIrBr2.

Summary:
E above lowest polymorph   401 meV/atom
Total magnetization   0.000 Bohr magnetons per cell
Calculated volume   28.78 Å³/atom
ΔE_f (raw)   0.33 eV per atom

abc: 3.605 6.963 9.174
angles: 90.00 90.00 90.00
Space group Cmm2 (No. 35)
Unique sites:
Tl (0.000, 0.000, 0.000) x2
Ir (0.000, 0.500, 0.221) x2
Br (0.000, 0.000, 0.399) x2
Br (0.000, 0.500, 0.765) x2

---

A plane-wave DFT calculation with PBE-GGA was carried out for an optimized crystal structure of TlIrBr2.

Summary:
E above lowest polymorph   393 meV/atom
Total magnetization   0.000 Bohr magnetons per cell
Calculated volume   27.35 Å³/atom
ΔE_f (raw)   0.33 eV per atom

abc: 3.491 3.638 17.228
angles: 90.00 90.00 90.00
Space group Imm2 (No. 44)
Unique sites:
Tl (0.000, 0.000, 0.000) x2
Ir (0.000, 0.500, 0.353) x2
Br (0.000, 0.000, 0.603) x2
Br (0.000, 0.500, 0.814) x2

---

- Which formula does entry 2 have?
  TlIrBr2